1.
Entry from Alexandria via LeMat-Bulk: an optimized crystal structure of Be2SiCl (GGA-PBE).

Lattice parameters (Å, degrees): 2.7732 3.8565 5.3214 90.00 90.00 90.00
Fractional coordinates of all 4 atoms:
Be 0.0000 0.0000 0.0000
Be 0.0000 0.5000 0.5000
Si 0.5000 0.0000 0.5000
Cl 0.5000 0.5000 0.0000

ρ: 2.38 g cm⁻³
Energy relative to the elements, uncorrected: 0.568 eV per atom


2.
Entry from Alexandria via LeMat-Bulk: an optimized crystal structure of Be2SiCl (GGA-PBE).

Lattice parameters (Å, degrees): 5.1267 5.1267 5.1267 148.77 120.80 68.46
Fractional coordinates of all 4 atoms:
Be 0.0000 0.0000 0.0000
Be 0.7826 0.2826 0.5000
Si 0.5332 0.5332 0.0000
Cl 0.1888 0.6888 0.5000

ρ: 2.29 g cm⁻³
Energy relative to the elements, uncorrected: 0.513 eV per atom


3.
Entry from Alexandria via LeMat-Bulk: an optimized crystal structure of BeSiCl4 (GGA-PBE).

Lattice parameters (Å, degrees): 5.8311 5.8311 5.8311 60.00 60.00 60.00
Fractional coordinates of all 6 atoms:
Be 0.0000 0.0000 0.0000
Si 0.2500 0.2500 0.2500
Cl 0.1237 0.6254 0.6254
Cl 0.6254 0.1237 0.6254
Cl 0.6254 0.6254 0.1237
Cl 0.6254 0.6254 0.6254

ρ: 2.12 g cm⁻³
Energy relative to the elements, uncorrected: 1.099 eV per atom


4.
Entry from Alexandria via LeMat-Bulk: an optimized crystal structure of Be2SiCl (GGA-PBE).

Lattice parameters (Å, degrees): 3.3476 6.1849 6.1849 27.01 90.00 90.00
Fractional coordinates of all 4 atoms:
Be 0.0000 0.0000 0.0000
Be 0.0000 0.1906 0.1906
Si 0.5000 0.6075 0.6075
Cl 0.0000 0.3646 0.3646

ρ: 2.33 g cm⁻³
Energy relative to the elements, uncorrected: 0.074 eV per atom


5.
Entry from Alexandria via LeMat-Bulk: an optimized crystal structure of Be2SiCl (GGA-PBE).

Lattice parameters (Å, degrees): 3.0923 3.0923 6.5049 90.00 90.00 90.00
Fractional coordinates of all 4 atoms:
Be 0.0000 0.0000 0.0000
Be 0.5000 0.5000 0.1993
Si 0.5000 0.5000 0.8570
Cl 0.0000 0.0000 0.3532

ρ: 2.18 g cm⁻³
Energy relative to the elements, uncorrected: 0.298 eV per atom


6.
Entry from Alexandria via LeMat-Bulk: an optimized crystal structure of Be2SiCl (GGA-PBE).

Lattice parameters (Å, degrees): 2.9688 2.9688 6.6578 90.00 90.00 109.86
Fractional coordinates of all 4 atoms:
Be 0.0000 0.0000 0.2278
Be 0.0000 0.0000 0.7722
Si 0.5000 0.5000 0.0000
Cl 0.5000 0.5000 0.5000

ρ: 2.45 g cm⁻³
Energy relative to the elements, uncorrected: 0.399 eV per atom


7.
Entry from Alexandria via LeMat-Bulk: an optimized crystal structure of Be2SiCl (GGA-PBE).

Lattice parameters (Å, degrees): 3.0406 3.0406 9.3462 90.00 90.00 125.95
Fractional coordinates of all 4 atoms:
Be 0.0000 0.0000 0.0000
Be 0.5000 0.5000 0.2016
Si 0.0000 0.0000 0.4095
Cl 0.5000 0.5000 0.8489

ρ: 1.94 g cm⁻³
Energy relative to the elements, uncorrected: 0.317 eV per atom


8.
Entry from Alexandria via LeMat-Bulk: an optimized crystal structure of Be2SiCl (GGA-PBE).

Lattice parameters (Å, degrees): 2.8645 2.8645 6.5792 90.00 90.00 90.00
Fractional coordinates of all 4 atoms:
Be 0.0000 0.0000 0.2195
Be 0.0000 0.0000 0.7805
Si 0.5000 0.5000 0.0000
Cl 0.5000 0.5000 0.5000

ρ: 2.51 g cm⁻³
Energy relative to the elements, uncorrected: 0.478 eV per atom


9.
Entry from Alexandria via LeMat-Bulk: an optimized crystal structure of Be2SiCl (GGA-PBE).

Lattice parameters (Å, degrees): 6.5561 6.5561 6.5561 28.08 28.08 28.08
Fractional coordinates of all 4 atoms:
Be 0.2427 0.2427 0.2427
Be 0.7573 0.7573 0.7573
Si 0.5000 0.5000 0.5000
Cl 0.0000 0.0000 0.0000

ρ: 2.46 g cm⁻³
Energy relative to the elements, uncorrected: 0.232 eV per atom


10.
Entry from Alexandria via LeMat-Bulk: an optimized crystal structure of Be4SiCl (GGA-PBE).

Lattice parameters (Å, degrees): 4.6252 4.6252 4.6252 60.00 60.00 60.00
Fractional coordinates of all 6 atoms:
Be 0.3787 0.3787 0.3787
Be 0.3787 0.3787 0.8638
Be 0.3787 0.8638 0.3787
Be 0.8638 0.3787 0.3787
Si 0.7500 0.7500 0.7500
Cl 0.0000 0.0000 0.0000

ρ: 2.36 g cm⁻³
Energy relative to the elements, uncorrected: 0.573 eV per atom


11.
Entry from Alexandria via LeMat-Bulk: an optimized crystal structure of Be3SiCl (GGA-PBE).

Lattice parameters (Å, degrees): 4.3390 4.3390 4.3390 90.00 90.00 90.00
Fractional coordinates of all 5 atoms:
Be 0.0000 0.0000 0.5000
Be 0.0000 0.5000 0.0000
Be 0.5000 0.0000 0.0000
Si 0.0000 0.0000 0.0000
Cl 0.5000 0.5000 0.5000

ρ: 1.84 g cm⁻³
Energy relative to the elements, uncorrected: 0.620 eV per atom


12.
Entry from Alexandria via LeMat-Bulk: an optimized crystal structure of Be2SiCl (GGA-PBE).

Lattice parameters (Å, degrees): 4.2716 4.2716 4.2716 60.00 60.00 60.00
Fractional coordinates of all 4 atoms:
Be 0.2500 0.2500 0.2500
Be 0.7500 0.7500 0.7500
Si 0.0000 0.0000 0.0000
Cl 0.5000 0.5000 0.5000

ρ: 2.46 g cm⁻³
Energy relative to the elements, uncorrected: 0.948 eV per atom